! PBE LuNbInCo, optimized geometry; values from VASP
&SYSTEM
  ibrav = 0, nat = 4, ntyp = 4
/
ATOMIC_SPECIES
Lu 174.97 Lu.upf
Nb 92.91 Nb.upf
In 114.82 In.upf
Co 58.93 Co.upf
ATOMIC_POSITIONS crystal
Lu 0.000 0.000 0.000
Nb 0.250 0.250 0.250
In 0.500 0.500 0.500
Co 0.750 0.750 0.750
CELL_PARAMETERS angstrom
0.000 3.336 3.336
3.336 0.000 3.336
3.336 3.336 0.000
! Electronic total energy ... -5.881 eV per atom
! Polymorph energy (0 for the lowest one) ... 0 meV per atom
! Space group ... F-43m
! Theoretical density ... 9874 kg/m3